<w>
DFT (PBE) results for a relaxed structure of CeCuPb2.

a b c (Å): 4.5488 4.7224 4.7224
angles (deg): 90.00 90.00 90.00
Closest atoms and distances in Å follow each position.
Fractional coordinates of all 4 atoms:
Pb1 0.0000 0.0000 0.5000  4 Ce 3.28, 4 Cu 3.28, 4 Pb 3.34
Pb2 0.0000 0.5000 0.0000  4 Cu 3.28, 4 Ce 3.28, 4 Pb 3.34
Cu1 0.5000 0.0000 0.0000  8 Pb 3.28, 4 Ce 3.34
Ce1 0.5000 0.5000 0.5000  8 Pb 3.28, 4 Cu 3.34

<x>
DFT (PBE) results for a relaxed structure of CeCuPb2.

a b c (Å): 3.4177 3.4177 10.9269
angles (deg): 81.00 81.00 60.00
Closest atoms and distances in Å follow each position.
Fractional coordinates of all 4 atoms:
Pb1 0.1027 0.1027 0.6918  3 Cu 2.85
Pb2 0.8973 0.8973 0.3082  3 Cu 2.85
Cu1 0.5000 0.5000 0.5000  6 Pb 2.85
Ce1 0.0000 0.0000 0.0000  2 Pb 3.31, 6 Ce 3.42

<y>
DFT (PBE) results for a relaxed structure of CeCuPb2.

a b c (Å): 4.7802 4.7802 9.3329
angles (deg): 104.84 104.84 90.00
Closest atoms and distances in Å follow each position.
Fractional coordinates of all 8 atoms:
Ce1 0.1369 0.1369 0.2738  4 Cu 3.10, 8 Pb 3.37-3.40
Ce2 0.8631 0.8631 0.7262  4 Cu 3.10, 8 Pb 3.37-3.40
Cu1 0.2500 0.7500 0.5000  4 Pb 2.88, 4 Ce 3.10
Cu2 0.7500 0.2500 0.5000  4 Pb 2.88, 4 Ce 3.10
Pb1 0.0000 0.5000 0.0000  4 Ce 3.37, 8 Pb 3.38-3.63
Pb2 0.5000 0.0000 0.0000  4 Ce 3.37, 8 Pb 3.38-3.63
Pb3 0.3428 0.3428 0.6856  4 Cu 2.88
Pb4 0.6572 0.6572 0.3144  4 Cu 2.88

Stability order, top to bottom: <y>, <w>, <x>

<w>
DFT (PBE) results for a relaxed structure of CeCuPd.

a b c (Å): 3.5112 4.4581 4.4581
angles (deg): 120.00 90.00 90.00
Closest atoms and distances in Å follow each position.
Fractional coordinates of all 3 atoms:
Cu1 0.1667 0.3333 0.6667  3 Pd 2.57
Pd1 0.1666 0.0000 0.0000  3 Cu 2.57
Ce1 0.6667 0.6667 0.3333  6 Pd 3.12, 6 Cu 3.12

<x>
DFT (PBE) results for a relaxed structure of CeCuPd.

a b c (Å): 3.5069 3.5069 5.3288
angles (deg): 109.21 109.21 90.00
Closest atoms and distances in Å follow each position.
Fractional coordinates of all 3 atoms:
Ce1 0.9512 0.9512 0.9024  5 Cu 2.96-3.04, 5 Pd 2.99-3.02
Pd1 0.6338 0.6338 0.2675  4 Cu 2.77, 5 Ce 2.99-3.02
Cu1 0.2650 0.2650 0.5301  4 Pd 2.77, 5 Ce 2.96-3.04

<y>
DFT (PBE) results for a relaxed structure of CeCuPd.

a b c (Å): 4.5237 5.5273 5.7008
angles (deg): 74.70 66.62 65.84
Closest atoms and distances in Å follow each position.
Fractional coordinates of all 6 atoms:
Ce1 0.5362 0.2197 0.7080  6 Pd 2.91-3.19, 6 Cu 3.07-3.19
Ce2 0.4638 0.7803 0.2920  6 Pd 2.91-3.19, 6 Cu 3.07-3.19
Cu1 0.8438 0.2069 0.1055  1 Cu 2.48, 2 Pd 2.60
Cu2 0.1562 0.7931 0.8945  1 Cu 2.48, 2 Pd 2.60
Pd1 0.1776 0.3577 0.2872  3 Cu 2.60-2.82, 1 Pd 2.79, 1 Ce 2.91
Pd2 0.8224 0.6423 0.7128  3 Cu 2.60-2.82, 1 Pd 2.79, 1 Ce 2.91

Stability order, top to bottom: <y>, <w>, <x>

<w>
DFT (PBE) results for a relaxed structure of CeZnCuPd.

a b c (Å): 4.7256 4.7256 4.7256
angles (deg): 60.00 60.00 60.00
Closest atoms and distances in Å follow each position.
Fractional coordinates of all 4 atoms:
Zn1 0.7500 0.7500 0.7500  4 Pd 2.89, 4 Cu 2.89
Cu1 0.5000 0.5000 0.5000  4 Zn 2.89, 4 Ce 2.89
Pd1 0.0000 0.0000 0.0000  4 Ce 2.89, 4 Zn 2.89
Ce1 0.2500 0.2500 0.2500  4 Cu 2.89, 4 Pd 2.89

<x>
DFT (PBE) results for a relaxed structure of CeZnCuPd.

a b c (Å): 4.3831 4.3818 5.2802
angles (deg): 114.54 90.00 120.01
Closest atoms and distances in Å follow each position.
Fractional coordinates of all 4 atoms:
Ce1 0.6164 0.2327 0.4913  4 Cu 2.92-3.06, 4 Pd 2.98-3.03
Zn1 0.1213 0.2427 0.0062  3 Cu 2.58-2.59, 3 Pd 2.63
Cu1 0.8263 0.6525 0.1207  3 Zn 2.58-2.59, 3 Pd 2.83
Pd1 0.4023 0.8047 0.8492  3 Zn 2.63, 3 Cu 2.83

Stability order, top to bottom: <x>, <w>

<w>
DFT (PBE) results for a relaxed structure of CePmCu2.

a b c (Å): 4.0919 4.0301 10.7867
angles (deg): 100.79 90.00 90.00
Closest atoms and distances in Å follow each position.
Fractional coordinates of all 8 atoms:
Ce1 0.7500 0.4542 0.4105  2 Ce 2.79, 6 Cu 2.94-3.05
Ce2 0.2500 0.5458 0.5895  2 Ce 2.79, 6 Cu 2.94-3.05
Pm1 0.7500 0.8060 0.1135  7 Cu 3.00-3.30
Pm2 0.2500 0.1940 0.8865  7 Cu 3.00-3.30
Cu1 0.7500 0.6525 0.8025  2 Cu 2.58
Cu2 0.2500 0.3475 0.1975  2 Cu 2.58
Cu3 0.7500 0.0762 0.6501  2 Cu 2.58
Cu4 0.2500 0.9238 0.3499  2 Cu 2.58

<x>
DFT (PBE) results for a relaxed structure of CePmCu2.

a b c (Å): 3.8241 3.8241 8.1110
angles (deg): 76.36 76.36 60.00
Closest atoms and distances in Å follow each position.
Fractional coordinates of all 4 atoms:
Cu1 0.7509 0.7509 0.7474  3 Ce 2.93, 3 Pm 2.96
Cu2 0.2491 0.2491 0.2526  3 Ce 2.93, 3 Pm 2.96
Ce1 0.5000 0.5000 0.5000  6 Cu 2.93
Pm1 0.0000 0.0000 0.0000  6 Cu 2.96

<y>
DFT (PBE) results for a relaxed structure of CePmCu2.

a b c (Å): 5.0184 5.0184 5.0184
angles (deg): 60.00 60.00 60.00
Closest atoms and distances in Å follow each position.
Fractional coordinates of all 4 atoms:
Cu1 0.2500 0.2500 0.2500  4 Ce 3.07, 4 Pm 3.07
Cu2 0.7500 0.7500 0.7500  4 Ce 3.07, 4 Pm 3.07
Ce1 0.5000 0.5000 0.5000  8 Cu 3.07
Pm1 0.0000 0.0000 0.0000  8 Cu 3.07

<z>
DFT (PBE) results for a relaxed structure of CePmCu2.

a b c (Å): 3.4883 5.0582 5.0582
angles (deg): 90.00 90.00 90.00
Closest atoms and distances in Å follow each position.
Fractional coordinates of all 4 atoms:
Cu1 0.0000 0.0000 0.5000  4 Pm 3.07, 4 Ce 3.07
Cu2 0.0000 0.5000 0.0000  4 Pm 3.07, 4 Ce 3.07
Ce1 0.5000 0.0000 0.0000  8 Cu 3.07
Pm1 0.5000 0.5000 0.5000  8 Cu 3.07

Stability order, top to bottom: <w>, <z>, <y>, <x>